DFT (PBEsol) results for an optimized crystal structure of GaAg2Au2.

The structure in CIF format:
```
data_GaAg2Au2
_space_group_name_H-M_alt 'P 4/m b m'
_space_group_IT_number 127
_space_group_name_Hall '-P 4 2ab'
_cell_length_a 6.7022
_cell_length_b 6.7022
_cell_length_c 3.9684
_cell_angle_alpha 90.00
_cell_angle_beta 90.00
_cell_angle_gamma 90.00
loop_
_atom_site_label
_atom_site_type_symbol
_atom_site_fract_x
_atom_site_fract_y
_atom_site_fract_z
Ga1 Ga 0.0000 0.0000 0.0000
Ag1 Ag 0.1539 0.3461 0.5000
Au1 Au 0.1478 0.6478 0.0000
```

Properties
**E_form**: -0.112 eV per formula unit



DFT (PBEsol) results for an optimized crystal structure of MnGa2AgAu.

The structure in CIF format:
```
data_MnGa2AgAu
_space_group_name_H-M_alt 'P 4/m m m'
_space_group_IT_number 123
_space_group_name_Hall '-P 4 2'
_cell_length_a 4.7123
_cell_length_b 4.7123
_cell_length_c 5.0772
_cell_angle_alpha 90.00
_cell_angle_beta 90.00
_cell_angle_gamma 90.00
loop_
_atom_site_label
_atom_site_type_symbol
_atom_site_fract_x
_atom_site_fract_y
_atom_site_fract_z
Mn1 Mn 0.0000 0.0000 0.0000
Ga1 Ga 0.0000 0.5000 0.5000
Ag1 Ag 0.5000 0.5000 0.5000
Au1 Au 0.5000 0.5000 0.0000
```

Properties
**E_form**: 4.076 eV per formula unit



- Which formula does entry 2 have?
  MnGa2AgAu



- E_form of number 1 (GaAg2Au2)?
  -0.112 eV per formula unit



- E_form of number 1 (GaAg2Au2)?
  -0.112 eV per formula unit



- E_form of number 1 (GaAg2Au2)?
  -0.112 eV per formula unit